Material: TbUC2
Method: DFT, GGA-PBE
State: optimized geometry

It has space group R3m (No. 160, hexagonal axes), with a = 3.5489 Å, b = 3.5489 Å, c = 17.5426 Å, α = 90.00°, β = 90.00° and γ = 120.00°. Symmetry generates all atoms from Tb at (0.0000, 0.0000, 0.0000), U at (0.0000, 0.0000, 0.1726), C at (0.0000, 0.0000, 0.5771) and C at (0.0000, 0.0000, 0.7713).

The value obtained for the formation energy is -0.09 eV/atom. Its total DFT energy (no corrections) is -104.13 eV for the cell shown. The calculation puts the energy above the most stable polymorph in this dataset at 177 meV per atom. Its calculated volume is 191 Å³ per cell.